*w*
A plane-wave DFT calculation with PBEsol was carried out for an optimized crystal structure of FeMoOs2.

Results
Calculated volume   13.457 Å³ per atom

abc: 4.606 4.606 2.685
angles: 90.00 90.00 109.10
Positions (direct):
Fe: 0.000 0.000 0.000
Mo: 0.500 0.500 0.000
Os: 0.000 0.500 0.500
Os: 0.500 0.000 0.500



*x*
A plane-wave DFT calculation with PBEsol was carried out for an optimized crystal structure of FeMoOs2.

Results
Calculated volume   13.742 Å³ per atom

abc: 5.242 5.242 5.242
angles: 149.42 130.89 58.97
Positions (direct):
Fe: 0.000 0.000 0.000
Mo: 0.500 0.500 0.000
Os: 0.221 0.721 0.500
Os: 0.779 0.279 0.500



Energetically preferred structure: *w* | next structure: +0.093 eV/atom



*w*
A plane-wave DFT calculation with PBEsol was carried out for an optimized crystal structure of Fe3MoP.

Results
Calculated volume   13.033 Å³ per atom

abc: 4.024 4.024 4.024
angles: 90.00 90.00 90.00
Positions (direct):
Fe: 0.000 0.000 0.500
Fe: 0.000 0.500 0.000
Fe: 0.500 0.000 0.000
Mo: 0.500 0.500 0.500
P: 0.000 0.000 0.000



*x*
A plane-wave DFT calculation with PBEsol was carried out for an optimized crystal structure of Fe3MoP.

Results
Calculated volume   16.547 Å³ per atom

abc: 4.357 4.357 4.357
angles: 90.00 90.00 90.00
Positions (direct):
Fe: 0.000 0.000 0.500
Fe: 0.000 0.500 0.000
Fe: 0.500 0.000 0.000
Mo: 0.000 0.000 0.000
P: 0.500 0.500 0.500



Energetically preferred structure: *w* | next structure: +1.187 eV/atom



*w*
A plane-wave DFT calculation with PBEsol was carried out for an optimized crystal structure of FeMo2Pt.

Results
Calculated volume   14.224 Å³ per atom

abc: 3.232 3.232 5.447
angles: 90.00 90.00 90.00
Positions (direct):
Fe: 0.000 0.000 0.000
Mo: 0.500 0.500 0.218
Mo: 0.500 0.500 0.782
Pt: 0.000 0.000 0.500



*x*
A plane-wave DFT calculation with PBEsol was carried out for an optimized crystal structure of FeMo2Pt.

Results
Calculated volume   13.846 Å³ per atom

abc: 2.676 4.348 4.759
angles: 90.00 90.00 90.00
Positions (direct):
Fe: 0.000 0.000 0.000
Mo: 0.500 0.000 0.486
Mo: 0.500 0.500 0.149
Pt: 0.000 0.500 0.662



Energetically preferred structure: *x* | next structure: +0.165 eV/atom



*w*
A plane-wave DFT calculation with PBEsol was carried out for an optimized crystal structure of FeMo2Pt.

Results
Calculated volume   13.840 Å³ per atom

abc: 4.719 4.719 2.669
angles: 90.00 90.00 111.34
Positions (direct):
Fe: 0.000 0.000 0.000
Mo: 0.000 0.500 0.500
Mo: 0.500 0.000 0.500
Pt: 0.500 0.500 0.000



*x*
A plane-wave DFT calculation with PBEsol was carried out for an optimized crystal structure of FeMo2Pt.

Results
Calculated volume   13.907 Å³ per atom

abc: 8.938 8.938 8.938
angles: 17.39 17.39 17.39
Positions (direct):
Fe: 0.000 0.000 0.000
Mo: 0.255 0.255 0.255
Mo: 0.745 0.745 0.745
Pt: 0.500 0.500 0.500



Energetically preferred structure: *w* | next structure: +0.160 eV/atom



*w*
A plane-wave DFT calculation with PBEsol was carried out for an optimized crystal structure of FeMo2Pt.

Results
Calculated volume   13.772 Å³ per atom

abc: 2.690 3.777 5.422
angles: 90.00 90.00 90.00
Positions (direct):
Fe: 0.000 0.000 0.000
Mo: 0.500 0.500 0.227
Mo: 0.500 0.500 0.773
Pt: 0.000 0.000 0.500



*x*
A plane-wave DFT calculation with PBEsol was carried out for an optimized crystal structure of FeMo2Pt.

Results
Calculated volume   13.659 Å³ per atom

abc: 2.678 2.678 7.617
angles: 90.00 90.00 90.00
Positions (direct):
Fe: 0.000 0.000 0.000
Mo: 0.500 0.500 0.227
Mo: 0.500 0.500 0.773
Pt: 0.000 0.000 0.500



Energetically preferred structure: *x* | next structure: +0.026 eV/atom



*w*
A plane-wave DFT calculation with PBEsol was carried out for an optimized crystal structure of FeMoPt.

Results
Calculated volume   15.351 Å³ per atom

abc: 4.023 4.023 4.023
angles: 60.00 60.00 60.00
Positions (direct):
Fe: 0.000 0.000 0.000
Mo: 0.750 0.750 0.750
Pt: 0.250 0.250 0.250



*x*
A plane-wave DFT calculation with PBEsol was carried out for an optimized crystal structure of FeMoPt.

Results
Calculated volume   13.620 Å³ per atom

abc: 4.667 4.667 4.667
angles: 146.89 132.07 59.49
Positions (direct):
Fe: 0.000 0.000 0.000
Mo: 0.658 0.658 0.000
Pt: 0.332 0.332 0.000



Energetically preferred structure: *x* | next structure: +0.485 eV/atom



*w*
A plane-wave DFT calculation with PBEsol was carried out for an optimized crystal structure of FeMo2Rh.

Results
Calculated volume   13.471 Å³ per atom

abc: 4.636 4.636 4.636
angles: 132.04 132.04 70.17
Positions (direct):
Fe: 0.000 0.000 0.000
Mo: 0.250 0.750 0.500
Mo: 0.750 0.250 0.500
Rh: 0.500 0.500 0.000



*x*
A plane-wave DFT calculation with PBEsol was carried out for an optimized crystal structure of FeMo2Rh.

Results
Calculated volume   13.911 Å³ per atom

abc: 9.027 9.027 9.027
angles: 17.13 17.13 17.13
Positions (direct):
Fe: 0.000 0.000 0.000
Mo: 0.506 0.506 0.506
Mo: 0.747 0.747 0.747
Rh: 0.256 0.256 0.256



Energetically preferred structure: *w* | next structure: +0.200 eV/atom



*w*
A plane-wave DFT calculation with PBEsol was carried out for an optimized crystal structure of FeSb2Mo.

Results
Calculated volume   17.449 Å³ per atom

abc: 4.451 4.451 5.415
angles: 102.52 102.52 41.98
Positions (direct):
Fe: 0.000 0.000 0.000
Sb: 0.254 0.254 0.758
Sb: 0.746 0.746 0.242
Mo: 0.500 0.500 0.500



*x*
A plane-wave DFT calculation with PBEsol was carried out for an optimized crystal structure of FeSb2Mo.

Results
Calculated volume   17.804 Å³ per atom

abc: 5.541 5.541 5.541
angles: 139.45 139.45 58.68
Positions (direct):
Fe: 0.000 0.000 0.000
Sb: 0.250 0.750 0.500
Sb: 0.500 0.500 0.000
Mo: 0.750 0.250 0.500



Energetically preferred structure: *w* | next structure: +0.117 eV/atom



*w*
A plane-wave DFT calculation with PBEsol was carried out for an optimized crystal structure of FeTcMo.

Results
Calculated volume   13.414 Å³ per atom

abc: 2.660 2.660 6.566
angles: 90.00 90.00 120.00
Positions (direct):
Fe: 0.000 0.000 0.000
Tc: 0.667 0.333 0.305
Mo: 0.333 0.667 0.670



*x*
A plane-wave DFT calculation with PBEsol was carried out for an optimized crystal structure of FeTcMo.

Results
Calculated volume   13.608 Å³ per atom

abc: 4.275 4.275 2.579
angles: 90.00 90.00 120.00
Positions (direct):
Fe: 0.000 0.000 0.000
Tc: 0.333 0.667 0.347
Mo: 0.667 0.333 0.662



Energetically preferred structure: *x* | next structure: +0.130 eV/atom



*w*
A plane-wave DFT calculation with PBEsol was carried out for an optimized crystal structure of Fe2TcMo.

Results
Calculated volume   12.911 Å³ per atom

abc: 3.006 3.006 5.716
angles: 90.00 90.00 90.00
Positions (direct):
Fe: 0.000 0.000 0.000
Fe: 0.500 0.500 0.220
Tc: 0.500 0.500 0.740
Mo: 0.000 0.000 0.478



*x*
A plane-wave DFT calculation with PBEsol was carried out for an optimized crystal structure of Fe2TcMo.

Results
Calculated volume   12.546 Å³ per atom

abc: 8.552 8.552 8.552
angles: 17.65 17.65 17.65
Positions (direct):
Fe: 0.248 0.248 0.248
Fe: 0.752 0.752 0.752
Tc: 0.500 0.500 0.500
Mo: 0.000 0.000 0.000



*y*
A plane-wave DFT calculation with PBEsol was carried out for an optimized crystal structure of Fe2TcMo.

Results
Calculated volume   12.896 Å³ per atom

abc: 4.851 4.851 4.851
angles: 143.84 129.20 63.94
Positions (direct):
Fe: 0.000 0.000 0.000
Fe: 0.761 0.261 0.500
Tc: 0.508 0.508 0.000
Mo: 0.253 0.753 0.500



Energetically preferred structure: *w* | next structure: +0.038 eV/atom



*w*
A plane-wave DFT calculation with PBEsol was carried out for an optimized crystal structure of TlFeMo2.

Results
Calculated volume   15.770 Å³ per atom

abc: 9.134 9.134 9.134
angles: 17.93 17.93 17.93
Positions (direct):
Tl: 0.000 0.000 0.000
Fe: 0.500 0.500 0.500
Mo: 0.240 0.240 0.240
Mo: 0.760 0.760 0.760



*x*
A plane-wave DFT calculation with PBEsol was carried out for an optimized crystal structure of TlFeMo2.

Results
Calculated volume   15.746 Å³ per atom

abc: 4.884 4.884 2.891
angles: 90.00 90.00 114.03
Positions (direct):
Tl: 0.000 0.000 0.000
Fe: 0.500 0.500 0.000
Mo: 0.000 0.500 0.500
Mo: 0.500 0.000 0.500



Energetically preferred structure: *w* | next structure: +0.035 eV/atom



*w*
A plane-wave DFT calculation with PBEsol was carried out for an optimized crystal structure of TlFeMo2.

Results
Calculated volume   16.005 Å³ per atom

abc: 3.258 3.258 6.032
angles: 90.00 90.00 90.00
Positions (direct):
Tl: 0.000 0.000 0.000
Fe: 0.500 0.500 0.266
Mo: 0.000 0.000 0.482
Mo: 0.500 0.500 0.694



*x*
A plane-wave DFT calculation with PBEsol was carried out for an optimized crystal structure of TlFeMo2.

Results
Calculated volume   15.743 Å³ per atom

abc: 4.466 4.466 4.466
angles: 60.00 60.00 60.00
Positions (direct):
Tl: 0.000 0.000 0.000
Fe: 0.500 0.500 0.500
Mo: 0.250 0.250 0.250
Mo: 0.750 0.750 0.750



Energetically preferred structure: *w* | next structure: +0.273 eV/atom



*w*
A plane-wave DFT calculation with PBEsol was carried out for an optimized crystal structure of FeMo2W.

Results
Calculated volume   14.350 Å³ per atom

abc: 2.663 2.663 8.521
angles: 90.00 90.00 108.22
Positions (direct):
Fe: 0.000 0.000 0.000
Mo: 0.000 0.000 0.501
Mo: 0.500 0.500 0.763
W: 0.500 0.500 0.237



*x*
A plane-wave DFT calculation with PBEsol was carried out for an optimized crystal structure of FeMo2W.

Results
Calculated volume   14.326 Å³ per atom

abc: 4.328 4.328 4.328
angles: 60.00 60.00 60.00
Positions (direct):
Fe: 0.000 0.000 0.000
Mo: 0.250 0.250 0.250
Mo: 0.500 0.500 0.500
W: 0.750 0.750 0.750



Energetically preferred structure: *w* | next structure: +0.070 eV/atom



*w*
A plane-wave DFT calculation with PBEsol was carried out for an optimized crystal structure of YFe2Mo.

Results
Calculated volume   15.685 Å³ per atom

abc: 8.965 8.965 8.965
angles: 18.41 18.41 18.41
Positions (direct):
Y: 0.000 0.000 0.000
Fe: 0.242 0.242 0.242
Fe: 0.508 0.508 0.508
Mo: 0.768 0.768 0.768



*x*
A plane-wave DFT calculation with PBEsol was carried out for an optimized crystal structure of YFe2Mo.

Results
Calculated volume   15.648 Å³ per atom

abc: 3.016 3.016 6.883
angles: 90.00 90.00 90.00
Positions (direct):
Y: 0.000 0.000 0.000
Fe: 0.000 0.000 0.476
Fe: 0.500 0.500 0.297
Mo: 0.500 0.500 0.673



Energetically preferred structure: *x* | next structure: +0.324 eV/atom



*w*
A plane-wave DFT calculation with PBEsol was carried out for an optimized crystal structure of FeRuN2.

Results
Calculated volume   10.172 Å³ per atom

abc: 5.267 5.267 5.267
angles: 131.01 131.01 71.79
Positions (direct):
Fe: 0.000 0.000 0.000
Fe: 0.750 0.250 0.500
Ru: 0.250 0.750 0.500
Ru: 0.500 0.500 0.000
N: 0.096 0.625 0.971
N: 0.375 0.346 0.471
N: 0.654 0.125 0.029
N: 0.875 0.904 0.529



*x*
A plane-wave DFT calculation with PBEsol was carried out for an optimized crystal structure of FeRuN2.

Results
Calculated volume   9.973 Å³ per atom

abc: 6.356 6.356 6.356
angles: 24.85 24.85 24.85
Positions (direct):
Fe: 0.000 0.000 0.000
Ru: 0.500 0.500 0.500
N: 0.096 0.096 0.096
N: 0.904 0.904 0.904



Energetically preferred structure: *w* | next structure: +0.457 eV/atom